[1]
Tb4Co2Rh, optimized geometry, DFT GGA-PBE; volume = 306.2 Å³/cell; total energy = -6.03 eV per atom; M_tot = 0.00 μB per formula unit; ΔH_f (0 K) = -0.299 eV/atom
1.0
6.0357 -4.1938 0.0000
6.0357 4.1938 0.0000
-6.0317 0.0000 6.0478
Tb Co Rh
8 4 2
Direct
0.0492 0.0492 0.2451
0.3621 0.5391 0.6466
0.4593 0.1667 0.8730
0.4609 0.6379 0.3534
0.5784 0.0469 0.2562
0.8333 0.5407 0.1270
0.9508 0.9508 0.7549
0.9531 0.4216 0.7438
0.2061 0.2942 0.1798
0.5206 0.1094 0.5668
0.7058 0.7939 0.8202
0.8906 0.4794 0.4332
0.1210 0.8790 0.5000
0.2912 0.7088 0.0000

[2]
Tb2CoRh, optimized geometry, DFT GGA-PBE; volume = 262.7 Å³/cell; total energy = -5.68 eV per atom; M_tot = 0.42 μB per formula unit; ΔH_f (0 K) = 0.247 eV/atom
1.0
3.3707 0.0000 0.0000
-1.6853 2.9191 0.0000
0.0000 0.0000 26.7024
Tb Co Rh
6 3 3
Direct
0.0000 0.0000 0.0963
0.0000 0.0000 0.9037
0.3333 0.6667 0.5704
0.3333 0.6667 0.7629
0.6667 0.3333 0.2371
0.6667 0.3333 0.4296
0.0000 0.0000 0.5000
0.3333 0.6667 0.1667
0.6667 0.3333 0.8333
0.0000 0.0000 0.0000
0.3333 0.6667 0.6667
0.6667 0.3333 0.3333

[3]
Tb6Co2Rh, optimized geometry, DFT GGA-PBE; volume = 454.1 Å³/cell; total energy = -5.73 eV per atom; M_tot = 0.00 μB per formula unit; ΔH_f (0 K) = -0.242 eV/atom; polymorph energy (0 for the lowest one) = 0.067 eV/atom
1.0
6.4991 0.0000 0.0000
0.0000 7.1483 0.0000
-6.1789 0.0000 9.7746
Tb Co Rh
12 4 2
Direct
0.0808 0.0528 0.2421
0.0808 0.4472 0.7421
0.2403 0.6681 0.0868
0.2403 0.8319 0.5868
0.3871 0.1654 0.0671
0.3871 0.3346 0.5671
0.6129 0.6654 0.4329
0.6129 0.8346 0.9329
0.7597 0.1681 0.4132
0.7597 0.3319 0.9132
0.9192 0.5528 0.2579
0.9192 0.9472 0.7579
0.3190 0.1219 0.7832
0.3190 0.3781 0.2832
0.6810 0.6219 0.7168
0.6810 0.8781 0.2168
0.5000 0.0000 0.5000
0.5000 0.5000 0.0000

[4]
Tb3CoRh, optimized geometry, DFT GGA-PBE; volume = 229.8 Å³/cell; total energy = -6.12 eV per atom; M_tot = 0.00 μB per formula unit; ΔH_f (0 K) = -0.449 eV/atom; polymorph energy (0 for the lowest one) = 0.000 eV/atom
1.0
7.5862 0.0000 0.0000
0.0000 3.9160 0.0000
-2.7093 0.0000 7.7369
Tb Co Rh
6 2 2
Direct
0.0904 0.2500 0.2358
0.3090 0.2500 0.9266
0.3593 0.7500 0.5973
0.6407 0.2500 0.4027
0.6910 0.7500 0.0734
0.9096 0.7500 0.7642
0.0510 0.2500 0.5745
0.9490 0.7500 0.4255
0.3621 0.7500 0.1966
0.6379 0.2500 0.8034